{"formula": "ScTi2SiH", "functional": "PBE", "state": "relaxed", "cell": [[4.039, 0.000, 0.000], [0.000, 4.039, 0.000], [0.000, 0.000, 4.213]], "species": ["Sc", "Ti", "Ti", "Si", "H"], "fractional_positions": [[0.000, 0.000, 0.000], [0.000, 0.500, 0.500], [0.500, 0.000, 0.500], [0.500, 0.500, 0.000], [0.000, 0.000, 0.500]], "dft_energy_ev_per_atom": -6.63, "mass_density_g_cm3": 4.10}